Below is a geometry-optimized MgAu3 structure, with properties calculated at the PBE level.

The formation energy from the elements is -0.249 eV/atom.

a b c (Å): 4.5408 4.5408 8.5075
angles (deg): 90.00 90.00 120.00
Space group P6_3/mmc (No. 194)
Asymmetric unit:
Mg 0.3333 0.6667 0.2500 [2 per cell]
Au 0.0000 0.0000 0.2500 [2 per cell]
Au 0.3333 0.6667 0.5799 [4 per cell]

---

Below is a geometry-optimized Mg5Au structure, with properties calculated at the PBE level.

The formation energy from the elements is -0.181 eV/atom.

a b c (Å): 4.809 3.405 15.262
angles (deg): 90.00 90.00 90.00
Space group Amm2 (No. 38)
Asymmetric unit:
Mg 0.000 0.000 0.000 [2 per cell]
Mg 0.000 0.000 0.307 [2 per cell]
Mg 0.500 0.000 0.121 [2 per cell]
Mg 0.500 0.000 0.445 [2 per cell]
Mg 0.500 0.000 0.779 [2 per cell]
Au 0.000 0.000 0.657 [2 per cell]

---

Below is a geometry-optimized MgAu3 structure, with properties calculated at the PBE level.

The formation energy from the elements is -0.210 eV/atom.

a b c (Å): 3.0496 3.0496 27.1503
angles (deg): 90.00 90.00 120.00
Space group R-3m (No. 166, hexagonal axes)
Asymmetric unit:
Mg 0.0000 0.0000 0.0000 [3 per cell]
Au 0.0000 0.0000 0.2546 [6 per cell]
Au 0.0000 0.0000 0.5000 [3 per cell]

---

Below is a geometry-optimized Mg2MnAu structure, with properties calculated at the PBE level.

The formation energy from the elements is -0.147 eV/atom.

a b c (Å): 6.533 6.533 6.533
angles (deg): 90.00 90.00 90.00
Space group F-43m (No. 216)
Asymmetric unit:
Mg 0.000 0.000 0.000 [4 per cell]
Mg 0.250 0.250 0.250 [4 per cell]
Mn 0.250 0.250 0.750 [4 per cell]
Au 0.000 0.000 0.500 [4 per cell]

---

Below is a geometry-optimized MgMn2Au structure, with properties calculated at the PBE level.

The formation energy from the elements is 0.155 eV/atom.

a b c (Å): 2.839 4.593 5.184
angles (deg): 90.00 99.32 90.00
Space group P2/m (No. 10)
Asymmetric unit:
Mg 0.000 0.000 0.000 [1 per cell]
Mn 0.276 0.500 0.745 [2 per cell]
Au 0.500 0.000 0.500 [1 per cell]

---

Below is a geometry-optimized MgMnAu4 structure, with properties calculated at the PBE level.

The formation energy from the elements is -0.018 eV/atom.

a b c (Å): 7.757 7.757 7.757
angles (deg): 90.00 90.00 90.00
Space group F-43m (No. 216)
Asymmetric unit:
Mg 0.000 0.000 0.000 [4 per cell]
Mn 0.250 0.250 0.750 [4 per cell]
Au 0.125 0.125 0.375 [16 per cell]